This record from the Alexandria database describes Ni3Mo2Rh after structural relaxation. The functional is PBE.

Cell lengths 6.000, 6.000, 8.324 Å; angles 116.22, 116.22, 36.50 degrees
Fractional positions:
Ni 0.046 0.046 0.385
Ni 0.289 0.289 0.611
Ni 0.378 0.378 0.384
Ni 0.622 0.622 0.616
Ni 0.711 0.711 0.389
Ni 0.954 0.954 0.615
Mo 0.202 0.202 0.847
Mo 0.463 0.463 0.147
Mo 0.537 0.537 0.853
Mo 0.798 0.798 0.153
Rh 0.128 0.128 0.137
Rh 0.872 0.872 0.863

- ΔE_f (kJ per mole of atoms) = 1.14
- total moment (μB per atom) = 0.000
- VASP energy (eV/cell) = -92.57

This record from the Alexandria database describes HoZrTiAl after structural relaxation. The functional is PBE.

Cell lengths 4.978, 4.978, 4.978 Å; angles 60.00, 60.00, 60.00 degrees
Fractional positions:
Ho 0.000 0.000 0.000
Zr 0.500 0.500 0.500
Ti 0.250 0.250 0.250
Al 0.750 0.750 0.750

- ΔE_f (kJ per mole of atoms) = -7.53
- total moment (μB per atom) = 0.738
- VASP energy (eV/cell) = -25.08

This record from the Alexandria database describes DyHoSi2Pt5 after structural relaxation. The functional is PBE.

Cell lengths 4.179, 4.179, 8.954 Å; angles 90.00, 90.00, 90.00 degrees
Fractional positions:
Dy 0.000 0.000 0.000
Ho 0.000 0.000 0.500
Si 0.500 0.500 0.369
Si 0.500 0.500 0.631
Pt 0.000 0.500 0.235
Pt 0.000 0.500 0.765
Pt 0.500 0.000 0.235
Pt 0.500 0.000 0.765
Pt 0.500 0.500 0.000

- total moment (μB per atom) = 0.000
- VASP energy (eV/cell) = -60.25
- formation energy (no corrections) (eV/atom) = -1.113

This record from the Alexandria database describes Cd2WCl after structural relaxation. The functional is PBE.

Cell lengths 3.010, 3.012, 8.793 Å; angles 90.00, 90.00, 90.00 degrees
Fractional positions:
Cd 0.000 0.000 0.237
Cd 0.000 0.000 0.763
W 0.500 0.500 0.000
Cl 0.000 0.500 0.500

- total moment (μB per atom) = 0.000
- VASP energy (eV/cell) = -15.56
- polymorph energy (0 for the lowest one) (meV per atom) = 130
- formation energy (no corrections) (eV/atom) = 0.268

Q: What is the total moment in the second record?
A: 0.738 μB per atom